## A
Entry from the Alexandria database: an optimized crystal structure of Pm2PC (GGA-PBE).

```
data_Pm2PC
_space_group_name_H-M_alt 'P 4/m m m'
_space_group_IT_number 123
_space_group_name_Hall '-P 4 2'
_cell_length_a 4.957
_cell_length_b 4.957
_cell_length_c 3.190
_cell_angle_alpha 90.00
_cell_angle_beta 90.00
_cell_angle_gamma 90.00
loop_
_atom_site_label
_atom_site_type_symbol
_atom_site_fract_x
_atom_site_fract_y
_atom_site_fract_z
_atom_site_occupancy
Pm1 Pm 0.000 0.500 0.000 1
P1 P 0.000 0.000 0.500 1
C1 C 0.500 0.500 0.500 1
```

***

## B
Entry from the Alexandria database: an optimized crystal structure of Pm2PC (GGA-PBE).

```
data_Pm2PC
_space_group_name_H-M_alt 'R -3 m'
_space_group_IT_number 166
_space_group_name_Hall '-R 3 2"'
_cell_length_a 3.8843
_cell_length_b 3.8843
_cell_length_c 19.7104
_cell_angle_alpha 90.00
_cell_angle_beta 90.00
_cell_angle_gamma 120.00
loop_
_atom_site_label
_atom_site_type_symbol
_atom_site_fract_x
_atom_site_fract_y
_atom_site_fract_z
_atom_site_occupancy
Pm1 Pm 0.0000 0.0000 0.2412 1
P1 P 0.0000 0.0000 0.0000 1
C1 C 0.0000 0.0000 0.5000 1
```

***

Which is most stable, and by how much? B, by 569 meV/atom.

***

## A
Entry from the Alexandria database: an optimized crystal structure of PPtC3 (GGA-PBE).

```
data_PPtC3
_space_group_name_H-M_alt 'P m -3 m'
_space_group_IT_number 221
_space_group_name_Hall '-P 4 2 3'
_cell_length_a 3.660
_cell_length_b 3.660
_cell_length_c 3.660
_cell_angle_alpha 90.00
_cell_angle_beta 90.00
_cell_angle_gamma 90.00
loop_
_atom_site_label
_atom_site_type_symbol
_atom_site_fract_x
_atom_site_fract_y
_atom_site_fract_z
_atom_site_occupancy
P1 P 0.000 0.000 0.000 1
Pt1 Pt 0.500 0.500 0.500 1
C1 C 0.000 0.000 0.500 1
```

***

## B
Entry from the Alexandria database: an optimized crystal structure of PPtC3 (GGA-PBE).

```
data_PPtC3
_space_group_name_H-M_alt 'P m -3 m'
_space_group_IT_number 221
_space_group_name_Hall '-P 4 2 3'
_cell_length_a 4.015
_cell_length_b 4.015
_cell_length_c 4.015
_cell_angle_alpha 90.00
_cell_angle_beta 90.00
_cell_angle_gamma 90.00
loop_
_atom_site_label
_atom_site_type_symbol
_atom_site_fract_x
_atom_site_fract_y
_atom_site_fract_z
_atom_site_occupancy
P1 P 0.000 0.000 0.000 1
Pt1 Pt 0.500 0.500 0.500 1
C1 C 0.000 0.500 0.500 1
```

***

Which is most stable, and by how much? A, by 680 meV/atom.

***

## A
Entry from the Alexandria database: an optimized crystal structure of Pu2PC (GGA-PBE).

```
data_Pu2PC
_space_group_name_H-M_alt 'C m c m'
_space_group_IT_number 63
_space_group_name_Hall '-C 2c 2'
_cell_length_a 4.037
_cell_length_b 13.011
_cell_length_c 5.656
_cell_angle_alpha 90.00
_cell_angle_beta 90.00
_cell_angle_gamma 90.00
loop_
_atom_site_label
_atom_site_type_symbol
_atom_site_fract_x
_atom_site_fract_y
_atom_site_fract_z
_atom_site_occupancy
Pu1 Pu 0.000 0.000 0.000 1
Pu2 Pu 0.000 0.277 0.250 1
P1 P 0.000 0.386 0.750 1
C1 C 0.000 0.140 0.750 1
```

***

## B
Entry from the Alexandria database: an optimized crystal structure of Pu2PC (GGA-PBE).

```
data_Pu2PC
_space_group_name_H-M_alt 'R -3 m'
_space_group_IT_number 166
_space_group_name_Hall '-R 3 2"'
_cell_length_a 3.7357
_cell_length_b 3.7357
_cell_length_c 18.7016
_cell_angle_alpha 90.00
_cell_angle_beta 90.00
_cell_angle_gamma 120.00
loop_
_atom_site_label
_atom_site_type_symbol
_atom_site_fract_x
_atom_site_fract_y
_atom_site_fract_z
_atom_site_occupancy
Pu1 Pu 0.0000 0.0000 0.2381 1
P1 P 0.0000 0.0000 0.0000 1
C1 C 0.0000 0.0000 0.5000 1
```

***

Which is most stable, and by how much? B, by 60 meV/atom.